## LaNdGeSe (GGA-PBE)

Data for an optimized crystal structure of LaNdGeSe.

Cell lengths 7.534, 7.534, 7.534 Å; angles 33.42, 33.42, 33.42 degrees
Fractional positions:
La (0.000, 0.000, 0.000)
Nd (0.506, 0.506, 0.506)
Ge (0.251, 0.251, 0.251)
Se (0.754, 0.754, 0.754)

Summary:
Raw formation energy = -1422.7 meV per atom
Total DFT energy (no corrections) = -23.49 eV for the cell shown
Total magnetization = 0.000 μB per formula unit
Calculated volume = 28.89 Å³ per atom

=====

## LaNdTlGe (GGA-PBE)

Data for an optimized crystal structure of LaNdTlGe.

Cell lengths 5.426, 5.426, 5.426 Å; angles 60.00, 60.00, 60.00 degrees
Fractional positions:
La (0.000, 0.000, 0.000)
Nd (0.500, 0.500, 0.500)
Tl (0.750, 0.750, 0.750)
Ge (0.250, 0.250, 0.250)

Summary:
Total DFT energy (no corrections) = -18.61 eV for the cell shown
Total magnetization = 0.000 μB per formula unit
ΔE_f = -0.482 eV per atom
Calculated volume = 28.25 Å³ per atom